No. 1
Crystalline BeB3As at its relaxed geometry. Source: the Alexandria database, functional PBE.

Lattice parameters (Å, degrees): 4.085 4.085 4.085 90.00 90.00 90.00
Sites, in units of the cell vectors:
Be1 0.000 0.000 0.000
B1 0.000 0.500 0.500
B2 0.500 0.000 0.500
B3 0.500 0.500 0.000
As1 0.500 0.500 0.500

Values from the calculation:
- space-group type = Pm-3m, No. 221
- relative energy among the computed polymorphs (eV per atom) = 0.511
- volume (Å³/atom) = 13.6
- uncorrected energy (eV per atom) = -3.526



No. 2
Crystalline HfNi2Os at its relaxed geometry. Source: the Alexandria database, functional PBE.

Lattice parameters (Å, degrees): 9.249 9.249 9.249 156.60 156.60 33.33
Sites, in units of the cell vectors:
Hf1 0.000 0.000 0.000
Hf2 0.750 0.250 0.500
Ni1 0.155 0.625 0.030
Ni2 0.375 0.405 0.530
Ni3 0.595 0.125 0.970
Ni4 0.875 0.845 0.470
Os1 0.250 0.750 0.500
Os2 0.500 0.500 0.000

Values from the calculation:
- space-group type = I-42d, No. 122
- volume (Å³/atom) = 15.6
- uncorrected energy (eV per atom) = -7.961



No. 3
Crystalline Pr12DyMg3 at its relaxed geometry. Source: the Alexandria database, functional PBE.

Lattice parameters (Å, degrees): 5.095 5.095 20.544 90.00 90.00 90.00
Sites, in units of the cell vectors:
Pr1 0.000 0.000 0.000
Pr2 0.000 0.000 0.248
Pr3 0.000 0.000 0.500
Pr4 0.000 0.000 0.752
Pr5 0.000 0.500 0.124
Pr6 0.000 0.500 0.372
Pr7 0.000 0.500 0.628
Pr8 0.000 0.500 0.876
Pr9 0.500 0.000 0.124
Pr10 0.500 0.000 0.372
Pr11 0.500 0.000 0.628
Pr12 0.500 0.000 0.876
Dy1 0.500 0.500 0.500
Mg1 0.500 0.500 0.000
Mg2 0.500 0.500 0.247
Mg3 0.500 0.500 0.753

Values from the calculation:
- space-group type = P4/mmm, No. 123
- volume (Å³/atom) = 33.3
- uncorrected energy (eV per atom) = -4.176



No. 4
Crystalline Ba6Ti7Sb9O42 at its relaxed geometry. Source: the Alexandria database, functional PBE.

Lattice parameters (Å, degrees): 9.142 9.142 12.104 90.07 90.07 119.89
Sites, in units of the cell vectors:
Ba1 0.000 0.000 0.000
Ba2 0.005 0.412 0.505
Ba3 0.412 0.005 0.505
Ba4 0.414 0.814 0.001
Ba5 0.814 0.414 0.001
Ba6 0.816 0.816 0.506
Ti1 0.158 0.410 0.147
Ti2 0.160 0.160 0.648
Ti3 0.410 0.158 0.147
Ti4 0.419 0.665 0.654
Ti5 0.658 0.658 0.145
Ti6 0.661 0.661 0.839
Ti7 0.665 0.419 0.654
Sb1 0.076 0.743 0.251
Sb2 0.079 0.745 0.751
Sb3 0.167 0.167 0.337
Sb4 0.171 0.413 0.837
Sb5 0.410 0.651 0.340
Sb6 0.413 0.171 0.837
Sb7 0.651 0.410 0.340
Sb8 0.743 0.076 0.251
Sb9 0.745 0.079 0.751
O1 0.091 0.580 0.857
O2 0.095 0.923 0.357
O3 0.097 0.579 0.151
O4 0.097 0.928 0.652
O5 0.196 0.196 0.501
O6 0.196 0.412 0.000
O7 0.207 0.407 0.674
O8 0.207 0.409 0.327
O9 0.209 0.209 0.173
O10 0.209 0.209 0.828
O11 0.237 0.724 0.357
O12 0.239 0.926 0.858
O13 0.241 0.928 0.151
O14 0.245 0.725 0.656
O15 0.407 0.207 0.674
O16 0.407 0.611 0.825
O17 0.409 0.207 0.327
O18 0.409 0.623 0.504
O19 0.410 0.608 0.175
O20 0.412 0.196 0.000
O21 0.579 0.097 0.151
O22 0.580 0.091 0.857
O23 0.582 0.896 0.357
O24 0.582 0.897 0.649
O25 0.608 0.410 0.175
O26 0.611 0.407 0.825
O27 0.613 0.613 0.329
O28 0.617 0.617 0.681
O29 0.623 0.409 0.504
O30 0.626 0.626 0.998
O31 0.721 0.891 0.149
O32 0.722 0.892 0.850
O33 0.724 0.237 0.357
O34 0.725 0.245 0.656
O35 0.891 0.721 0.149
O36 0.892 0.722 0.850
O37 0.896 0.582 0.357
O38 0.897 0.582 0.649
O39 0.923 0.095 0.357
O40 0.926 0.239 0.858
O41 0.928 0.097 0.652
O42 0.928 0.241 0.151

Values from the calculation:
- space-group type = Cm, No. 8
- volume (Å³/atom) = 13.7
- uncorrected energy (eV per atom) = -7.179



No. 5
Crystalline SiOs2Pb at its relaxed geometry. Source: the Alexandria database, functional PBE.

Lattice parameters (Å, degrees): 4.488 4.488 4.488 60.00 60.00 60.00
Sites, in units of the cell vectors:
Si1 0.000 0.000 0.000
Os1 0.250 0.250 0.250
Os2 0.750 0.750 0.750
Pb1 0.500 0.500 0.500

Values from the calculation:
- space-group type = Fm-3m, No. 225
- relative energy among the computed polymorphs (eV per atom) = 0.315
- volume (Å³/atom) = 16.0
- uncorrected energy (eV per atom) = -7.227



No. 6
Crystalline NdZr2Sc3N6 at its relaxed geometry. Source: the Alexandria database, functional PBE.

Lattice parameters (Å, degrees): 7.359 7.359 6.613 102.40 102.40 25.86
Sites, in units of the cell vectors:
Nd1 0.000 0.000 0.000
Zr1 0.332 0.332 0.662
Zr2 0.668 0.668 0.338
Sc1 0.000 0.000 0.500
Sc2 0.331 0.331 0.168
Sc3 0.669 0.669 0.832
N1 0.168 0.168 0.585
N2 0.175 0.175 0.093
N3 0.496 0.496 0.725
N4 0.504 0.504 0.275
N5 0.825 0.825 0.907
N6 0.832 0.832 0.415

Values from the calculation:
- space-group type = C2/m, No. 12
- volume (Å³/atom) = 12.7
- uncorrected energy (eV per atom) = -9.274



No. 7
Crystalline YBeSeBr2 at its relaxed geometry. Source: the Alexandria database, functional PBE.

Lattice parameters (Å, degrees): 4.674 4.674 5.051 90.00 90.00 90.00
Sites, in units of the cell vectors:
Y1 0.000 0.000 0.000
Be1 0.500 0.500 0.500
Se1 0.500 0.500 0.000
Br1 0.000 0.500 0.500
Br2 0.500 0.000 0.500

Values from the calculation:
- space-group type = P4/mmm, No. 123
- relative energy among the computed polymorphs (eV per atom) = 0.000
- volume (Å³/atom) = 22.1
- uncorrected energy (eV per atom) = -4.032



No. 8
Crystalline Ta2MnW at its relaxed geometry. Source: the Alexandria database, functional PBE.

Lattice parameters (Å, degrees): 5.870 5.870 5.870 152.75 131.33 56.68
Sites, in units of the cell vectors:
Ta1 0.236 0.236 0.000
Ta2 0.764 0.764 0.000
Mn1 0.000 0.000 0.000
W1 0.500 0.500 0.000

Values from the calculation:
- space-group type = Immm, No. 71
- volume (Å³/atom) = 17.3
- uncorrected energy (eV per atom) = -10.654



No. 9
Crystalline CsTl2GaAg at its relaxed geometry. Source: the Alexandria database, functional PBE.

Lattice parameters (Å, degrees): 5.815 5.815 5.209 90.00 90.00 90.00
Sites, in units of the cell vectors:
Cs1 0.000 0.000 0.000
Tl1 0.000 0.500 0.500
Tl2 0.500 0.000 0.500
Ga1 0.500 0.500 0.500
Ag1 0.500 0.500 0.000

Values from the calculation:
- space-group type = P4/mmm, No. 123
- volume (Å³/atom) = 35.2
- uncorrected energy (eV per atom) = -2.202



No. 10
Crystalline Ba5SrMg at its relaxed geometry. Source: the Alexandria database, functional PBE.

Lattice parameters (Å, degrees): 8.629 8.629 13.555 103.10 103.10 55.74
Sites, in units of the cell vectors:
Ba1 0.027 0.245 0.541
Ba2 0.160 0.395 0.849
Ba3 0.225 0.775 0.750
Ba4 0.245 0.027 0.041
Ba5 0.395 0.160 0.349
Ba6 0.605 0.840 0.651
Ba7 0.755 0.973 0.959
Ba8 0.775 0.225 0.250
Ba9 0.840 0.605 0.151
Ba10 0.973 0.755 0.459
Sr1 0.293 0.707 0.250
Sr2 0.707 0.293 0.750
Mg1 0.500 0.500 0.000
Mg2 0.500 0.500 0.500

Values from the calculation:
- space-group type = C2/c, No. 15
- volume (Å³/atom) = 57.6
- uncorrected energy (eV per atom) = -1.727



No. 11
Crystalline Pm6Sn2H at its relaxed geometry. Source: the Alexandria database, functional PBE.

Lattice parameters (Å, degrees): 8.247 8.247 8.247 140.93 126.97 67.80
Sites, in units of the cell vectors:
Pm1 0.116 0.362 0.754
Pm2 0.239 0.000 0.239
Pm3 0.391 0.638 0.754
Pm4 0.609 0.362 0.246
Pm5 0.761 0.000 0.761
Pm6 0.884 0.638 0.246
Sn1 0.320 0.820 0.500
Sn2 0.680 0.180 0.500
H1 0.000 0.500 0.500

Values from the calculation:
- space-group type = Immm, No. 71
- volume (Å³/atom) = 30.9
- uncorrected energy (eV per atom) = -4.535



No. 12
Crystalline BeFe2Cl at its relaxed geometry. Source: the Alexandria database, functional PBE.

Lattice parameters (Å, degrees): 7.312 7.312 7.312 22.90 22.90 22.90
Sites, in units of the cell vectors:
Be1 0.000 0.000 0.000
Fe1 0.251 0.251 0.251
Fe2 0.505 0.505 0.505
Cl1 0.737 0.737 0.737

Values from the calculation:
- space-group type = R3m, No. 160
- relative energy among the computed polymorphs (eV per atom) = 0.173
- volume (Å³/atom) = 13.0
- uncorrected energy (eV per atom) = -5.368